1.
# LaTm | OQMD via LeMat-Bulk | PBE | relaxed
data_LaTm
_chemical_formula_sum 'La4 Tm4'
_symmetry_space_group_name_H-M 'F m -3 m'
_symmetry_Int_Tables_number 225
_symmetry_space_group_name_Hall '-F 4 2 3'
_cell_length_a 6.562
_cell_length_b 6.562
_cell_length_c 6.562
_cell_angle_alpha 90.00
_cell_angle_beta 90.00
_cell_angle_gamma 90.00
loop_
_atom_site_label
_atom_site_type_symbol
_atom_site_fract_x
_atom_site_fract_y
_atom_site_fract_z
La1 La 0.000 0.000 0.000
Tm1 Tm 0.000 0.000 0.500
# Energy relative to the lowest polymorph listed for this composition ... 0.592 eV/atom
# Density ... 7.24 g cm⁻³
# Formation enthalpy at 0 K ... 0.66 eV/atom
# Total magnetization ... 0.040 μB per atom
# Total energy ... -0.1486 hartree per atom


2.
# LaTm | OQMD via LeMat-Bulk | PBE | relaxed
data_LaTm
_chemical_formula_sum 'La1 Tm1'
_symmetry_space_group_name_H-M 'P -6 m 2'
_symmetry_Int_Tables_number 187
_symmetry_space_group_name_Hall 'P -6 2'
_cell_length_a 3.6564
_cell_length_b 3.6564
_cell_length_c 5.8317
_cell_angle_alpha 90.00
_cell_angle_beta 90.00
_cell_angle_gamma 120.00
loop_
_atom_site_label
_atom_site_type_symbol
_atom_site_fract_x
_atom_site_fract_y
_atom_site_fract_z
La1 La 0.0000 0.0000 0.0000
Tm1 Tm 0.6667 0.3333 0.5000
# Energy relative to the lowest polymorph listed for this composition ... 0.000 eV/atom
# Density ... 7.57 g cm⁻³
# Formation enthalpy at 0 K ... 0.06 eV/atom
# Total magnetization ... 0.008 μB per atom
# Total energy ... -0.1704 hartree per atom


3.
# LaTmW | OQMD via LeMat-Bulk | PBE | relaxed
data_LaTmW
_chemical_formula_sum 'La4 Tm4 W4'
_symmetry_space_group_name_H-M 'F -4 3 m'
_symmetry_Int_Tables_number 216
_symmetry_space_group_name_Hall 'F -4 2 3'
_cell_length_a 6.913
_cell_length_b 6.913
_cell_length_c 6.913
_cell_angle_alpha 90.00
_cell_angle_beta 90.00
_cell_angle_gamma 90.00
loop_
_atom_site_label
_atom_site_type_symbol
_atom_site_fract_x
_atom_site_fract_y
_atom_site_fract_z
La1 La 0.000 0.000 0.000
Tm1 Tm 0.000 0.000 0.500
W1 W 0.250 0.250 0.250
# Energy relative to the lowest polymorph listed for this composition ... 0.000 eV/atom
# Density ... 9.89 g cm⁻³
# Formation enthalpy at 0 K ... 0.76 eV/atom
# Total magnetization ... 0.001 μB per atom
# Total energy ... -0.2460 hartree per atom


4.
# LaTmZn | OQMD via LeMat-Bulk | PBE | relaxed
data_LaTmZn
_chemical_formula_sum 'La4 Tm4 Zn4'
_symmetry_space_group_name_H-M 'F -4 3 m'
_symmetry_Int_Tables_number 216
_symmetry_space_group_name_Hall 'F -4 2 3'
_cell_length_a 7.108
_cell_length_b 7.108
_cell_length_c 7.108
_cell_angle_alpha 90.00
_cell_angle_beta 90.00
_cell_angle_gamma 90.00
loop_
_atom_site_label
_atom_site_type_symbol
_atom_site_fract_x
_atom_site_fract_y
_atom_site_fract_z
La1 La 0.000 0.000 0.000
Tm1 Tm 0.000 0.000 0.500
Zn1 Zn 0.250 0.250 0.250
# Energy relative to the lowest polymorph listed for this composition ... 0.000 eV/atom
# Density ... 6.90 g cm⁻³
# Formation enthalpy at 0 K ... 0.01 eV/atom
# Total magnetization ... 0.002 μB per atom
# Total energy ... -0.1301 hartree per atom


5.
# LaTmZr | OQMD via LeMat-Bulk | PBE | relaxed
data_LaTmZr
_chemical_formula_sum 'La4 Tm4 Zr4'
_symmetry_space_group_name_H-M 'F -4 3 m'
_symmetry_Int_Tables_number 216
_symmetry_space_group_name_Hall 'F -4 2 3'
_cell_length_a 7.399
_cell_length_b 7.399
_cell_length_c 7.399
_cell_angle_alpha 90.00
_cell_angle_beta 90.00
_cell_angle_gamma 90.00
loop_
_atom_site_label
_atom_site_type_symbol
_atom_site_fract_x
_atom_site_fract_y
_atom_site_fract_z
La1 La 0.000 0.000 0.000
Tm1 Tm 0.250 0.250 0.250
Zr1 Zr 0.000 0.000 0.500
# Energy relative to the lowest polymorph listed for this composition ... 0.000 eV/atom
# Density ... 6.55 g cm⁻³
# Formation enthalpy at 0 K ... 0.89 eV/atom
# Total magnetization ... 0.612 μB per atom
# Total energy ... -0.1870 hartree per atom


6.
# LaU | OQMD via LeMat-Bulk | PBE | relaxed
data_LaU
_chemical_formula_sum 'La4 U4'
_symmetry_space_group_name_H-M 'F m -3 m'
_symmetry_Int_Tables_number 225
_symmetry_space_group_name_Hall '-F 4 2 3'
_cell_length_a 5.841
_cell_length_b 5.841
_cell_length_c 5.841
_cell_angle_alpha 90.00
_cell_angle_beta 90.00
_cell_angle_gamma 90.00
loop_
_atom_site_label
_atom_site_type_symbol
_atom_site_fract_x
_atom_site_fract_y
_atom_site_fract_z
La1 La 0.000 0.000 0.000
U1 U 0.000 0.000 0.500
# Energy relative to the lowest polymorph listed for this composition ... 0.541 eV/atom
# Density ... 12.56 g cm⁻³
# Formation enthalpy at 0 K ... 1.09 eV/atom
# Total magnetization ... 0.533 μB per atom
# Total energy ... -0.2578 hartree per atom


7.
# LaU | OQMD via LeMat-Bulk | PBE | relaxed
data_LaU
_chemical_formula_sum 'La4 U4'
_symmetry_space_group_name_H-M 'F -4 3 m'
_symmetry_Int_Tables_number 216
_symmetry_space_group_name_Hall 'F -4 2 3'
_cell_length_a 6.243
_cell_length_b 6.243
_cell_length_c 6.243
_cell_angle_alpha 90.00
_cell_angle_beta 90.00
_cell_angle_gamma 90.00
loop_
_atom_site_label
_atom_site_type_symbol
_atom_site_fract_x
_atom_site_fract_y
_atom_site_fract_z
La1 La 0.000 0.000 0.000
U1 U 0.250 0.250 0.750
# Energy relative to the lowest polymorph listed for this composition ... 1.206 eV/atom
# Density ... 10.29 g cm⁻³
# Formation enthalpy at 0 K ... 1.76 eV/atom
# Total magnetization ... 0.434 μB per atom
# Total energy ... -0.2334 hartree per atom


8.
# LaU | OQMD via LeMat-Bulk | PBE | relaxed
data_LaU
_chemical_formula_sum 'La1 U1'
_symmetry_space_group_name_H-M 'P -6 m 2'
_symmetry_Int_Tables_number 187
_symmetry_space_group_name_Hall 'P -6 2'
_cell_length_a 3.2063
_cell_length_b 3.2063
_cell_length_c 5.9391
_cell_angle_alpha 90.00
_cell_angle_beta 90.00
_cell_angle_gamma 120.00
loop_
_atom_site_label
_atom_site_type_symbol
_atom_site_fract_x
_atom_site_fract_y
_atom_site_fract_z
La1 La 0.0000 0.0000 0.0000
U1 U 0.6667 0.3333 0.5000
# Energy relative to the lowest polymorph listed for this composition ... 0.000 eV/atom
# Density ... 11.84 g cm⁻³
# Formation enthalpy at 0 K ... 0.55 eV/atom
# Total magnetization ... 1.064 μB per atom
# Total energy ... -0.2777 hartree per atom